(1)
DFT (PBE-GGA) results for an optimized crystal structure of PHOsN.

Lattice parameters (Å, degrees): 3.0809 3.0809 5.4692 107.25 107.25 60.56
Atoms (fractional coordinates):
P (0.0000, 0.0000, 0.0000)
H (0.3523, 0.3523, 0.3298)
Os (0.2350, 0.2350, 0.7240)
N (0.1530, 0.1530, 0.3128)

Properties
Offset from the most stable computed form   0.000 eV/f.u.
Crystal system   monoclinic

(2)
DFT (PBE-GGA) results for an optimized crystal structure of LiYSe2N.

Lattice parameters (Å, degrees): 4.8734 4.8734 3.8709 90.00 90.00 90.00
Atoms (fractional coordinates):
Li (0.0000, 0.0000, 0.0000)
Y (0.5000, 0.5000, 0.5000)
Se (0.0000, 0.5000, 0.0000)
Se (0.5000, 0.0000, 0.0000)
N (0.0000, 0.0000, 0.5000)

Properties
Offset from the most stable computed form   0.243 eV/f.u.
Raw formation energy   -150 meV per atom
Crystal system   tetragonal

(3)
DFT (PBE-GGA) results for an optimized crystal structure of SrAl2Co.

Lattice parameters (Å, degrees): 5.9125 5.9125 5.9125 150.58 127.78 61.07
Atoms (fractional coordinates):
Sr (0.0000, 0.0000, 0.0000)
Al (0.3054, 0.8054, 0.5000)
Al (0.6946, 0.1946, 0.5000)
Co (0.5000, 0.5000, 0.0000)

Properties
Total DFT energy (no corrections)   -0.29039 Ry/atom
Crystal system   orthorhombic

(4)
DFT (PBE-GGA) results for an optimized crystal structure of Mg2ScSb2.

Lattice parameters (Å, degrees): 7.8540 7.8540 7.8540 149.58 149.58 43.55
Atoms (fractional coordinates):
Mg (0.2500, 0.7500, 0.5000)
Mg (0.7500, 0.2500, 0.5000)
Sc (0.0000, 0.0000, 0.0000)
Sb (0.3934, 0.3934, 0.0000)
Sb (0.6066, 0.6066, 0.0000)

Properties
Raw formation energy   -255 meV per atom
Crystal system   tetragonal

(5)
DFT (PBE-GGA) results for an optimized crystal structure of K2PuCl2O2.

Lattice parameters (Å, degrees): 8.9653 8.9653 8.9653 151.98 151.98 40.05
Atoms (fractional coordinates):
K (0.1344, 0.1344, 0.0000)
K (0.8656, 0.8656, 0.0000)
Pu (0.5000, 0.5000, 0.0000)
Cl (0.3324, 0.3324, 0.0000)
Cl (0.6676, 0.6676, 0.0000)
O (0.0000, 0.5000, 0.5000)
O (0.5000, 0.0000, 0.5000)

Properties
Raw formation energy   -2299 meV per atom
Crystal system   tetragonal

(6)
DFT (PBE-GGA) results for an optimized crystal structure of HfAsN3.

Lattice parameters (Å, degrees): 3.7088 3.7088 3.7088 90.00 90.00 90.00
Atoms (fractional coordinates):
Hf (0.0000, 0.0000, 0.0000)
As (0.5000, 0.5000, 0.5000)
N (0.0000, 0.5000, 0.5000)
N (0.5000, 0.0000, 0.5000)
N (0.5000, 0.5000, 0.0000)

Properties
Raw formation energy   386 meV per atom
Crystal system   cubic

(7)
DFT (PBE-GGA) results for an optimized crystal structure of Gd3Ni7B2.

Lattice parameters (Å, degrees): 5.1183 5.1183 14.3572 90.00 90.00 120.00
Atoms (fractional coordinates):
Gd (0.3333, 0.6667, 0.0315)
Gd (0.3333, 0.6667, 0.2500)
Gd (0.3333, 0.6667, 0.4685)
Gd (0.6667, 0.3333, 0.5315)
Gd (0.6667, 0.3333, 0.7500)
Gd (0.6667, 0.3333, 0.9685)
Ni (0.0000, 0.0000, 0.0000)
Ni (0.0000, 0.0000, 0.5000)
Ni (0.1654, 0.3308, 0.6501)
Ni (0.1654, 0.3308, 0.8499)
Ni (0.1654, 0.8346, 0.6501)
Ni (0.1654, 0.8346, 0.8499)
Ni (0.3308, 0.1654, 0.1501)
Ni (0.3308, 0.1654, 0.3499)
Ni (0.6692, 0.8346, 0.6501)
Ni (0.6692, 0.8346, 0.8499)
Ni (0.8346, 0.1654, 0.1501)
Ni (0.8346, 0.1654, 0.3499)
Ni (0.8346, 0.6692, 0.1501)
Ni (0.8346, 0.6692, 0.3499)
B (0.0000, 0.0000, 0.2500)
B (0.0000, 0.0000, 0.7500)
B (0.3333, 0.6667, 0.7500)
B (0.6667, 0.3333, 0.2500)

Properties
Total DFT energy (no corrections)   -0.62317 Ry/atom
Crystal system   hexagonal

(8)
DFT (PBE-GGA) results for an optimized crystal structure of Tl2In5Hg3Bi2.

Lattice parameters (Å, degrees): 17.4646 17.4646 17.4646 165.17 165.17 21.03
Atoms (fractional coordinates):
Tl (0.2415, 0.2415, 0.0000)
Tl (0.7585, 0.7585, 0.0000)
In (0.0778, 0.5778, 0.5000)
In (0.4222, 0.9222, 0.5000)
In (0.5000, 0.5000, 0.0000)
In (0.5778, 0.0778, 0.5000)
In (0.9222, 0.4222, 0.5000)
Hg (0.0000, 0.0000, 0.0000)
Hg (0.1509, 0.1509, 0.0000)
Hg (0.8491, 0.8491, 0.0000)
Bi (0.3417, 0.3417, 0.0000)
Bi (0.6583, 0.6583, 0.0000)

Properties
Total DFT energy (no corrections)   -0.16167 Ry/atom
Crystal system   tetragonal

Number 1: D(E_F) 0.1516 states/eV per atom. Number 2: D(E_F) 0.6546 states/eV per atom. Number 3: D(E_F) 0.8125 states/eV per atom. Number 4: D(E_F) 0.7730 states/eV per atom. Number 5: D(E_F) 0.7866 states/eV per atom. Number 6: D(E_F) 0.1637 states/eV per atom. Number 7: D(E_F) 0.4789 states/eV per atom. Number 8: D(E_F) 0.3596 states/eV per atom.